Here is crystalline GaNiOsW2 at its relaxed geometry from Alexandria. Energies are from PBEsol.

Computed properties:
* crystal system: tetragonal
* energy: -39.66 eV for the cell shown

Cell lengths 4.717, 4.717, 4.560 Å; angles 90.00, 90.00, 90.00 degrees
Space group P4/mmm (No. 123)
Unique sites:
Ga: 0.000 0.000 0.000 x1
Ni: 0.500 0.500 0.000 x1
Os: 0.000 0.000 0.500 x1
W: 0.000 0.500 0.500 x2